#1
Material: Pm2CdTe
Method: DFT, PBE
State: relaxed

Unit cell a=7.689 b=7.689 c=7.689 alpha=90.00 beta=90.00 gamma=90.00
Space group Fm-3m (No. 225)
Unique sites:
Pm (0.250, 0.250, 0.250) [8 per cell]
Cd (0.000, 0.000, 0.000) [4 per cell]
Te (0.000, 0.000, 0.500) [4 per cell]

The value obtained for the size of the total moment is 0.0 μB/f.u.



#2
Material: Pm2CdTe
Method: DFT, PBE
State: relaxed

Unit cell a=4.2938 b=4.2938 c=23.6416 alpha=90.00 beta=90.00 gamma=120.00
Space group R-3m (No. 166, hexagonal axes)
Unique sites:
Pm (0.0000, 0.0000, 0.2470) [6 per cell]
Cd (0.0000, 0.0000, 0.0000) [3 per cell]
Te (0.0000, 0.0000, 0.5000) [3 per cell]

The value obtained for the size of the total moment is 0.0 μB/f.u.



Which structure is most stable, and how do the rest compare? From most to least stable: #2, #1.



#1
Material: Pm2CdTe
Method: DFT, PBE
State: relaxed

Unit cell a=4.1569 b=4.1569 c=25.3883 alpha=90.00 beta=90.00 gamma=120.00
Space group R3m (No. 160, hexagonal axes)
Unique sites:
Pm (0.0000, 0.0000, 0.0000) [3 per cell]
Pm (0.0000, 0.0000, 0.1646) [3 per cell]
Cd (0.0000, 0.0000, 0.5817) [3 per cell]
Te (0.0000, 0.0000, 0.7497) [3 per cell]

The value obtained for the size of the total moment is 0.0 μB/f.u.



#2
Material: Pm2CdTe
Method: DFT, PBE
State: relaxed

Unit cell a=3.974 b=3.974 c=7.162 alpha=90.00 beta=90.00 gamma=90.00
Space group P4/mmm (No. 123)
Unique sites:
Pm (0.000, 0.000, 0.248) [2 per cell]
Cd (0.500, 0.500, 0.500) [1 per cell]
Te (0.500, 0.500, 0.000) [1 per cell]

The value obtained for the size of the total moment is 0.0 μB/f.u.



Which structure is most stable, and how do the rest compare? From most to least stable: #2, #1.



#1
Material: PmTh2Cd
Method: DFT, PBE
State: relaxed

Unit cell a=3.3923 b=3.3923 c=37.3342 alpha=90.00 beta=90.00 gamma=120.00
Space group R-3m (No. 166, hexagonal axes)
Unique sites:
Pm (0.0000, 0.0000, 0.0000) [3 per cell]
Th (0.0000, 0.0000, 0.0915) [6 per cell]
Cd (0.0000, 0.0000, 0.5000) [3 per cell]

The value obtained for the size of the total moment is 0.0 μB/f.u.



#2
Material: PmTh2Cd
Method: DFT, PBE
State: relaxed

Unit cell a=4.880 b=4.880 c=5.068 alpha=90.00 beta=90.00 gamma=90.00
Space group P4/mmm (No. 123)
Unique sites:
Pm (0.000, 0.000, 0.000) [1 per cell]
Th (0.000, 0.500, 0.500) [2 per cell]
Cd (0.500, 0.500, 0.000) [1 per cell]

The value obtained for the size of the total moment is 0.0 μB/f.u.



#3
Material: PmTh2Cd
Method: DFT, PBE
State: relaxed

Unit cell a=3.521 b=3.521 c=9.972 alpha=90.00 beta=90.00 gamma=90.00
Space group P4/mmm (No. 123)
Unique sites:
Pm (0.000, 0.000, 0.000) [1 per cell]
Th (0.500, 0.500, 0.267) [2 per cell]
Cd (0.000, 0.000, 0.500) [1 per cell]

The value obtained for the size of the total moment is 0.0 μB/f.u.



Which structure is most stable, and how do the rest compare? From most to least stable: #2, #3, #1.